Here is a relaxed structure of CaGaTeO6 from the Alexandria database. Energies are from PBE.

symmetry = No. 163
N(E_F) = 0.756 states/eV/atom
M_tot = 1.05 μB per formula unit
DFT total energy = -0.429 Ry per atom
energy relative to the elements, uncorrected = -156.3 kJ per mole of atoms

abc: 5.2221 5.2221 10.1019
angles: 90.00 90.00 120.00
Closest atoms and distances in Å follow each position.
Sites, in units of the cell vectors:
1 Ga 0.6667 0.3333 0.2500  6 O 2.01
2 Ga 0.3333 0.6667 0.7500  6 O 2.01
3 O 0.3619 0.9909 0.1430  1 Te 1.95, 1 Ga 2.01
4 O 0.6381 0.6290 0.6430  1 Te 1.95, 1 Ga 2.01
5 O 0.9909 0.3619 0.6430  1 Te 1.95, 1 Ga 2.01
6 O 0.3710 0.3619 0.8570  1 Te 1.95, 1 Ga 2.01
7 O 0.9909 0.6290 0.8570  1 Te 1.95, 1 Ga 2.01
8 O 0.6381 0.0091 0.8570  1 Te 1.95, 1 Ga 2.01
9 O 0.3710 0.0091 0.6430  1 Te 1.95, 1 Ga 2.01
10 O 0.0091 0.6381 0.3570  1 Te 1.95, 1 Ga 2.01
11 O 0.6290 0.9909 0.3570  1 Te 1.95, 1 Ga 2.01
12 O 0.3619 0.3710 0.3570  1 Te 1.95, 1 Ga 2.01
13 O 0.6290 0.6381 0.1430  1 Te 1.95, 1 Ga 2.01
14 O 0.0091 0.3710 0.1430  1 Te 1.95, 1 Ga 2.01
15 Te 0.6667 0.3333 0.7500  6 O 1.95
16 Te 0.3333 0.6667 0.2500  6 O 1.95
17 Ca 0.0000 0.0000 0.5000  6 O 2.40
18 Ca 0.0000 0.0000 0.0000  6 O 2.40